# 1
{
  "formula": "ThMgCoCu",
  "functional": "PBE",
  "state": "optimized geometry",
  "lattice": [[6.702, 0.000, 0.000], [0.000, 6.702, 0.000], [0.000, 0.000, 6.702]],
  "species": ["Th", "Th", "Th", "Th", "Mg", "Mg", "Mg", "Mg", "Co", "Co", "Co", "Co", "Cu", "Cu", "Cu", "Cu"],
  "fractional_positions": [[0.000, 0.000, 0.000], [0.000, 0.500, 0.500], [0.500, 0.000, 0.500], [0.500, 0.500, 0.000], [0.000, 0.000, 0.500], [0.000, 0.500, 0.000], [0.500, 0.000, 0.000], [0.500, 0.500, 0.500], [0.250, 0.250, 0.250], [0.250, 0.750, 0.750], [0.750, 0.250, 0.750], [0.750, 0.750, 0.250], [0.250, 0.250, 0.750], [0.250, 0.750, 0.250], [0.750, 0.250, 0.250], [0.750, 0.750, 0.750]],
  "e_tot_ev_per_atom": -5.11,
  "magmom_total_mub_per_fu": 0.49,
  "e_form_ev_per_fu": -0.21,
  "space_group": "F-43m (216)"
}

***

# 2
{
  "formula": "TmMgCoCu",
  "functional": "PBE",
  "state": "optimized geometry",
  "lattice": [[6.465, 0.000, 0.000], [0.000, 6.465, 0.000], [0.000, 0.000, 6.465]],
  "species": ["Tm", "Tm", "Tm", "Tm", "Mg", "Mg", "Mg", "Mg", "Co", "Co", "Co", "Co", "Cu", "Cu", "Cu", "Cu"],
  "fractional_positions": [[0.000, 0.000, 0.000], [0.000, 0.500, 0.500], [0.500, 0.000, 0.500], [0.500, 0.500, 0.000], [0.000, 0.000, 0.500], [0.000, 0.500, 0.000], [0.500, 0.000, 0.000], [0.500, 0.500, 0.500], [0.250, 0.250, 0.750], [0.250, 0.750, 0.250], [0.750, 0.250, 0.250], [0.750, 0.750, 0.750], [0.250, 0.250, 0.250], [0.250, 0.750, 0.750], [0.750, 0.250, 0.750], [0.750, 0.750, 0.250]],
  "e_tot_ev_per_atom": -4.41,
  "magmom_total_mub_per_fu": 0.01,
  "e_form_ev_per_fu": -0.36,
  "space_group": "F-43m (216)"
}

***

# 3
{
  "formula": "YMgCo2Cu",
  "functional": "PBE",
  "state": "optimized geometry",
  "lattice": [[4.621, 0.000, 0.000], [0.000, 4.621, 0.000], [0.000, 0.000, 5.585]],
  "species": ["Y", "Mg", "Co", "Co", "Cu"],
  "fractional_positions": [[0.000, 0.000, 0.000], [0.000, 0.000, 0.500], [0.000, 0.500, 0.000], [0.500, 0.000, 0.000], [0.500, 0.500, 0.500]],
  "e_tot_ev_per_atom": -3.63,
  "magmom_total_mub_per_fu": 1.68,
  "e_form_ev_per_fu": 8.22,
  "space_group": "P4/mmm (123)"
}

***

# 4
{
  "formula": "MgZnCoCu",
  "functional": "PBE",
  "state": "optimized geometry",
  "lattice": [[5.980, 0.000, 0.000], [0.000, 5.980, 0.000], [0.000, 0.000, 5.980]],
  "species": ["Mg", "Mg", "Mg", "Mg", "Zn", "Zn", "Zn", "Zn", "Co", "Co", "Co", "Co", "Cu", "Cu", "Cu", "Cu"],
  "fractional_positions": [[0.000, 0.000, 0.000], [0.000, 0.500, 0.500], [0.500, 0.000, 0.500], [0.500, 0.500, 0.000], [0.000, 0.000, 0.500], [0.000, 0.500, 0.000], [0.500, 0.000, 0.000], [0.500, 0.500, 0.500], [0.250, 0.250, 0.250], [0.250, 0.750, 0.750], [0.750, 0.250, 0.750], [0.750, 0.750, 0.250], [0.250, 0.250, 0.750], [0.250, 0.750, 0.250], [0.750, 0.250, 0.250], [0.750, 0.750, 0.750]],
  "e_tot_ev_per_atom": -3.50,
  "magmom_total_mub_per_fu": 0.59,
  "e_form_ev_per_fu": 0.07,
  "space_group": "F-43m (216)"
}

***

# 5
{
  "formula": "MgZrCoCu",
  "functional": "PBE",
  "state": "optimized geometry",
  "lattice": [[6.305, 0.000, 0.000], [0.000, 6.305, 0.000], [0.000, 0.000, 6.305]],
  "species": ["Mg", "Mg", "Mg", "Mg", "Zr", "Zr", "Zr", "Zr", "Co", "Co", "Co", "Co", "Cu", "Cu", "Cu", "Cu"],
  "fractional_positions": [[0.000, 0.000, 0.000], [0.000, 0.500, 0.500], [0.500, 0.000, 0.500], [0.500, 0.500, 0.000], [0.000, 0.000, 0.500], [0.000, 0.500, 0.000], [0.500, 0.000, 0.000], [0.500, 0.500, 0.500], [0.250, 0.250, 0.750], [0.250, 0.750, 0.250], [0.750, 0.250, 0.250], [0.750, 0.750, 0.750], [0.250, 0.250, 0.250], [0.250, 0.750, 0.750], [0.750, 0.250, 0.750], [0.750, 0.750, 0.250]],
  "e_tot_ev_per_atom": -5.46,
  "magmom_total_mub_per_fu": 0.19,
  "e_form_ev_per_fu": -0.50,
  "space_group": "F-43m (216)"
}

***

# 6
{
  "formula": "Mn6Co5Cu",
  "functional": "PBE",
  "state": "optimized geometry",
  "lattice": [[-2.036, 2.894, 6.103], [2.036, -2.894, 6.103], [2.036, 2.894, -6.103]],
  "species": ["Mn", "Mn", "Mn", "Mn", "Mn", "Mn", "Co", "Co", "Co", "Co", "Co", "Cu"],
  "fractional_positions": [[0.076, 0.331, 0.746], [0.241, 0.000, 0.241], [0.415, 0.669, 0.746], [0.585, 0.331, 0.254], [0.759, 0.000, 0.759], [0.924, 0.669, 0.254], [0.000, 0.500, 0.500], [0.167, 0.167, 0.000], [0.336, 0.836, 0.500], [0.664, 0.164, 0.500], [0.833, 0.833, 0.000], [0.500, 0.500, 0.000]],
  "e_tot_ev_per_atom": -7.84,
  "magmom_total_mub_per_fu": 25.27,
  "e_form_ev_per_fu": 0.62,
  "space_group": "Immm (71)"
}

***

# 7
{
  "formula": "Mn2CoCu",
  "functional": "PBE",
  "state": "optimized geometry",
  "lattice": [[3.596, 0.000, 0.000], [0.000, 3.596, 0.000], [0.000, 0.000, 7.319]],
  "species": ["Mn", "Mn", "Mn", "Mn", "Co", "Co", "Cu", "Cu"],
  "fractional_positions": [[0.000, 0.000, 0.000], [0.000, 0.500, 0.250], [0.500, 0.000, 0.750], [0.500, 0.500, 0.500], [0.000, 0.500, 0.750], [0.500, 0.000, 0.250], [0.000, 0.000, 0.500], [0.500, 0.500, 0.000]],
  "e_tot_ev_per_atom": -7.17,
  "polymorph_energy_mev_per_atom": 113,
  "magmom_total_mub_per_fu": 6.36,
  "e_form_ev_per_fu": 0.85,
  "space_group": "I-4m2 (119)"
}

***

# 8
{
  "formula": "Mn2CoCu",
  "functional": "PBE",
  "state": "optimized geometry",
  "lattice": [[5.721, 0.000, 0.000], [0.000, 5.721, 0.000], [0.000, 0.000, 5.721]],
  "species": ["Mn", "Mn", "Mn", "Mn", "Mn", "Mn", "Mn", "Mn", "Co", "Co", "Co", "Co", "Cu", "Cu", "Cu", "Cu"],
  "fractional_positions": [[0.000, 0.000, 0.000], [0.000, 0.500, 0.500], [0.250, 0.250, 0.250], [0.250, 0.750, 0.750], [0.500, 0.000, 0.500], [0.500, 0.500, 0.000], [0.750, 0.250, 0.750], [0.750, 0.750, 0.250], [0.250, 0.250, 0.750], [0.250, 0.750, 0.250], [0.750, 0.250, 0.250], [0.750, 0.750, 0.750], [0.000, 0.000, 0.500], [0.000, 0.500, 0.000], [0.500, 0.000, 0.000], [0.500, 0.500, 0.500]],
  "e_tot_ev_per_atom": -7.11,
  "polymorph_energy_mev_per_atom": 172,
  "magmom_total_mub_per_fu": 5.78,
  "e_form_ev_per_fu": 1.09,
  "space_group": "F-43m (216)"
}

***

# 9
{
  "formula": "Mn2CoCu",
  "functional": "PBE",
  "state": "optimized geometry",
  "lattice": [[4.946, 0.000, 0.000], [0.000, 8.337, 0.000], [-0.939, 0.000, 2.245]],
  "species": ["Mn", "Mn", "Mn", "Mn", "Co", "Co", "Cu", "Cu"],
  "fractional_positions": [[0.250, 0.250, 0.000], [0.250, 0.750, 0.000], [0.750, 0.250, 0.000], [0.750, 0.750, 0.000], [0.000, 0.000, 0.500], [0.500, 0.500, 0.500], [0.000, 0.500, 0.500], [0.500, 0.000, 0.500]],
  "e_tot_ev_per_atom": -7.13,
  "polymorph_energy_mev_per_atom": 159,
  "magmom_total_mub_per_fu": 5.42,
  "e_form_ev_per_fu": 1.03,
  "space_group": "C2/m (12)"
}

***

# 10
{
  "formula": "MnCoCu",
  "functional": "PBE",
  "state": "optimized geometry",
  "lattice": [[2.488, 0.000, 0.000], [-1.244, 2.154, 0.000], [0.000, 0.000, 6.221]],
  "species": ["Mn", "Co", "Cu"],
  "fractional_positions": [[0.000, 0.000, 0.000], [0.667, 0.333, 0.307], [0.333, 0.667, 0.651]],
  "e_tot_ev_per_atom": -6.62,
  "polymorph_energy_mev_per_atom": 2,
  "magmom_total_mub_per_fu": 1.41,
  "e_form_ev_per_fu": 0.50,
  "space_group": "P3m1 (156)"
}

***

# 11
{
  "formula": "Mn2CoCu",
  "functional": "PBE",
  "state": "optimized geometry",
  "lattice": [[4.110, 0.000, 0.000], [0.000, 4.110, 0.000], [0.000, 0.000, 2.964]],
  "species": ["Mn", "Mn", "Co", "Cu"],
  "fractional_positions": [[0.000, 0.500, 0.000], [0.500, 0.000, 0.000], [0.000, 0.000, 0.500], [0.500, 0.500, 0.500]],
  "e_tot_ev_per_atom": -7.27,
  "polymorph_energy_mev_per_atom": 21,
  "magmom_total_mub_per_fu": 8.43,
  "e_form_ev_per_fu": 0.48,
  "space_group": "P4/mmm (123)"
}

***

# 12
{
  "formula": "Mn2CoCu",
  "functional": "PBE",
  "state": "optimized geometry",
  "lattice": [[2.793, 0.000, 0.000], [0.000, 4.073, 0.000], [0.000, 0.000, 8.164]],
  "species": ["Mn", "Mn", "Mn", "Mn", "Co", "Co", "Cu", "Cu"],
  "fractional_positions": [[0.000, 0.000, 0.000], [0.000, 0.500, 0.240], [0.500, 0.000, 0.240], [0.500, 0.500, 0.000], [0.000, 0.000, 0.483], [0.500, 0.500, 0.483], [0.000, 0.500, 0.739], [0.500, 0.000, 0.739]],
  "e_tot_ev_per_atom": -7.22,
  "polymorph_energy_mev_per_atom": 65,
  "magmom_total_mub_per_fu": 1.93,
  "e_form_ev_per_fu": 0.66,
  "space_group": "Cmm2 (35)"
}